No. 1
Compound: Sm2ScGa3Au4
Source: Alexandria
Functional: PBE
Structure: relaxed

Output
calculated formation energy: -662 meV/atom

Lattice parameters (Å, degrees): 4.324 4.324 11.404 90.00 90.00 90.00
Space group P-4m2 (No. 115)
Inequivalent atoms, fractional coordinates:
Sm 0.000 0.500 0.226 x2
Sc 0.000 0.000 0.500 x1
Ga 0.000 0.500 0.869 x2
Ga 0.500 0.500 0.500 x1
Au 0.000 0.000 0.000 x1
Au 0.000 0.500 0.648 x2
Au 0.500 0.500 0.000 x1

***

No. 2
Compound: SmScGa2Au4
Source: Alexandria
Functional: PBE
Structure: relaxed

Output
calculated formation energy: -626 meV/atom

Lattice parameters (Å, degrees): 4.6663 4.6663 25.1557 90.00 90.00 120.00
Space group R-3m (No. 166, hexagonal axes)
Inequivalent atoms, fractional coordinates:
Sm 0.0000 0.0000 0.0000 x3
Sc 0.0000 0.0000 0.5000 x3
Ga 0.0000 0.0000 0.2463 x6
Au 0.0000 0.0000 0.1303 x6
Au 0.0000 0.0000 0.3894 x6

***

- What is the calculated formation energy in the first record?
  -662 meV/atom